Record 1
## CdInRh3 (PBEsol)

Data for an optimized crystal structure of CdInRh3.

a = 4.758 Å, b = 4.758 Å, c = 4.758 Å
α = 90.00°, β = 90.00°, γ = 90.00°
Atoms (fractional coordinates):
Cd 0.000 0.000 0.000
In 0.500 0.500 0.500
Rh 0.000 0.000 0.500
Rh 0.000 0.500 0.000
Rh 0.500 0.000 0.000

Values from the calculation:
* spin magnetization: 1.60 μB/f.u.
* ΔE_f: 1.45 eV/atom
* DFT total energy: -0.1569 Ha/atom
* volume: 108 Å³/cell

Record 2
## CdInRu2 (PBEsol)

Data for an optimized crystal structure of CdInRu2.

a = 2.861 Å, b = 2.861 Å, c = 8.249 Å
α = 90.00°, β = 90.00°, γ = 90.00°
Atoms (fractional coordinates):
Cd 0.000 0.000 0.000
In 0.500 0.500 0.318
Ru 0.000 0.000 0.564
Ru 0.500 0.500 0.753

Values from the calculation:
* spin magnetization: 0.00 μB/f.u.
* ΔE_f: 0.14 eV/atom
* DFT total energy: -0.2203 Ha/atom
* volume: 68 Å³/cell

Record 3
## Cd2InSnRu (PBEsol)

Data for an optimized crystal structure of Cd2InSnRu.

a = 5.130 Å, b = 5.130 Å, c = 4.990 Å
α = 90.00°, β = 90.00°, γ = 90.00°
Atoms (fractional coordinates):
Cd 0.000 0.500 0.000
Cd 0.500 0.000 0.000
In 0.000 0.000 0.000
Sn 0.500 0.500 0.500
Ru 0.000 0.000 0.500

Values from the calculation:
* spin magnetization: 1.19 μB/f.u.
* ΔE_f: 1.07 eV/atom
* DFT total energy: -0.1063 Ha/atom
* volume: 131 Å³/cell

Record 4
## CdInTe2S (PBEsol)

Data for an optimized crystal structure of CdInTe2S.

a = 5.655 Å, b = 5.655 Å, c = 4.819 Å
α = 90.00°, β = 90.00°, γ = 90.00°
Atoms (fractional coordinates):
Cd 0.000 0.000 0.000
In 0.500 0.500 0.500
Te 0.000 0.500 0.500
Te 0.500 0.000 0.500
S 0.500 0.500 0.000

Values from the calculation:
* spin magnetization: 0.00 μB/f.u.
* DFT total energy: -0.0999 Ha/atom
* volume: 154 Å³/cell

Record 5
## ScCdIn2 (PBEsol)

Data for an optimized crystal structure of ScCdIn2.

a = 5.561 Å, b = 5.561 Å, c = 5.561 Å
α = 134.05°, β = 134.05°, γ = 67.01°
Atoms (fractional coordinates):
Sc 0.000 0.000 0.000
Cd 0.500 0.500 0.000
In 0.250 0.750 0.500
In 0.750 0.250 0.500

Values from the calculation:
* spin magnetization: 0.00 μB/f.u.
* ΔE_f: -0.25 eV/atom
* DFT total energy: -0.1356 Ha/atom
* volume: 87 Å³/cell

Record 6
## ScCdIn2 (PBEsol)

Data for an optimized crystal structure of ScCdIn2.

a = 5.586 Å, b = 5.586 Å, c = 5.586 Å
α = 134.64°, β = 134.64°, γ = 66.08°
Atoms (fractional coordinates):
Sc 0.000 0.000 0.000
Cd 0.750 0.250 0.500
In 0.250 0.750 0.500
In 0.500 0.500 0.000

Values from the calculation:
* spin magnetization: 0.00 μB/f.u.
* ΔE_f: -0.28 eV/atom
* DFT total energy: -0.1368 Ha/atom
* volume: 87 Å³/cell

Record 7
## ScCdIn2 (PBEsol)

Data for an optimized crystal structure of ScCdIn2.

a = 5.283 Å, b = 5.283 Å, c = 3.288 Å
α = 90.00°, β = 90.00°, γ = 107.04°
Atoms (fractional coordinates):
Sc 0.000 0.000 0.000
Cd 0.500 0.500 0.000
In 0.000 0.500 0.500
In 0.500 0.000 0.500

Values from the calculation:
* spin magnetization: 0.00 μB/f.u.
* ΔE_f: -0.28 eV/atom
* DFT total energy: -0.1366 Ha/atom
* volume: 88 Å³/cell

Record 8
## ScCdIn (PBEsol)

Data for an optimized crystal structure of ScCdIn.

a = 3.289 Å, b = 3.289 Å, c = 7.223 Å
α = 90.00°, β = 90.00°, γ = 120.00°
Atoms (fractional coordinates):
Sc 0.000 0.000 0.000
Cd 0.333 0.667 0.671
In 0.667 0.333 0.334

Values from the calculation:
* spin magnetization: 0.00 μB/f.u.
* ΔE_f: -0.13 eV/atom
* DFT total energy: -0.1370 Ha/atom
* volume: 68 Å³/cell

Record 9
## ScCdIn2 (PBEsol)

Data for an optimized crystal structure of ScCdIn2.

a = 4.424 Å, b = 4.424 Å, c = 4.322 Å
α = 90.00°, β = 90.00°, γ = 90.00°
Atoms (fractional coordinates):
Sc 0.000 0.000 0.000
Cd 0.500 0.500 0.000
In 0.000 0.500 0.500
In 0.500 0.000 0.500

Values from the calculation:
* spin magnetization: 0.00 μB/f.u.
* ΔE_f: -0.38 eV/atom
* DFT total energy: -0.1404 Ha/atom
* volume: 85 Å³/cell

Record 10
## ScCdIn3 (PBEsol)

Data for an optimized crystal structure of ScCdIn3.

a = 5.281 Å, b = 5.281 Å, c = 5.281 Å
α = 90.00°, β = 90.00°, γ = 90.00°
Atoms (fractional coordinates):
Sc 0.000 0.000 0.000
Cd 0.500 0.500 0.500
In 0.000 0.500 0.500
In 0.500 0.000 0.500
In 0.500 0.500 0.000

Values from the calculation:
* spin magnetization: 0.00 μB/f.u.
* ΔE_f: 0.51 eV/atom
* DFT total energy: -0.1043 Ha/atom
* volume: 147 Å³/cell

Record 11
## ScCdIn2 (PBEsol)

Data for an optimized crystal structure of ScCdIn2.

a = 3.283 Å, b = 4.331 Å, c = 6.239 Å
α = 90.00°, β = 90.00°, γ = 90.00°
Atoms (fractional coordinates):
Sc 0.000 0.000 0.000
Cd 0.000 0.000 0.500
In 0.500 0.500 0.246
In 0.500 0.500 0.754

Values from the calculation:
* spin magnetization: 0.00 μB/f.u.
* ΔE_f: -0.19 eV/atom
* DFT total energy: -0.1336 Ha/atom
* volume: 89 Å³/cell

Record 12
## ScCdIn (PBEsol)

Data for an optimized crystal structure of ScCdIn.

a = 4.777 Å, b = 4.777 Å, c = 3.239 Å
α = 90.00°, β = 90.00°, γ = 120.00°
Atoms (fractional coordinates):
Sc 0.000 0.000 0.000
Cd 0.667 0.333 0.500
In 0.333 0.667 0.500

Values from the calculation:
* spin magnetization: 0.00 μB/f.u.
* ΔE_f: -0.35 eV/atom
* DFT total energy: -0.1451 Ha/atom
* volume: 64 Å³/cell

Record 13
## Sc2CdIn (PBEsol)

Data for an optimized crystal structure of Sc2CdIn.

a = 3.196 Å, b = 4.122 Å, c = 6.437 Å
α = 90.00°, β = 90.00°, γ = 90.00°
Atoms (fractional coordinates):
Sc 0.000 0.000 0.249
Sc 0.000 0.000 0.751
Cd 0.500 0.500 0.000
In 0.500 0.500 0.500

Values from the calculation:
* spin magnetization: 0.40 μB/f.u.
* energy above the most stable polymorph in this dataset: 0.09 eV per formula unit
* ΔE_f: -0.41 eV/atom
* DFT total energy: -0.1749 Ha/atom
* volume: 85 Å³/cell

Record 14
## Sc2CdIn (PBEsol)

Data for an optimized crystal structure of Sc2CdIn.

a = 5.944 Å, b = 5.944 Å, c = 5.944 Å
α = 146.31°, β = 131.27°, γ = 60.55°
Atoms (fractional coordinates):
Sc 0.000 0.000 0.000
Sc 0.740 0.240 0.500
Cd 0.251 0.751 0.500
In 0.479 0.479 0.000

Values from the calculation:
* spin magnetization: 0.00 μB/f.u.
* energy above the most stable polymorph in this dataset: 0.45 eV per formula unit
* ΔE_f: -0.32 eV/atom
* DFT total energy: -0.1716 Ha/atom
* volume: 87 Å³/cell

Record 15
## Sc2CdIn (PBEsol)

Data for an optimized crystal structure of Sc2CdIn.

a = 4.936 Å, b = 4.936 Å, c = 4.936 Å
α = 60.00°, β = 60.00°, γ = 60.00°
Atoms (fractional coordinates):
Sc 0.250 0.250 0.250
Sc 0.750 0.750 0.750
Cd 0.000 0.000 0.000
In 0.500 0.500 0.500

Values from the calculation:
* spin magnetization: 0.00 μB/f.u.
* energy above the most stable polymorph in this dataset: 0.00 eV per formula unit
* ΔE_f: -0.43 eV/atom
* DFT total energy: -0.1757 Ha/atom
* volume: 85 Å³/cell

Record 16
## Sc2CdIn (PBEsol)

Data for an optimized crystal structure of Sc2CdIn.

a = 3.503 Å, b = 4.928 Å, c = 4.928 Å
α = 90.00°, β = 90.00°, γ = 90.00°
Atoms (fractional coordinates):
Sc 0.000 0.000 0.000
Sc 0.000 0.500 0.499
Cd 0.500 0.500 0.999
In 0.500 0.000 0.500

Values from the calculation:
* spin magnetization: 0.00 μB/f.u.
* energy above the most stable polymorph in this dataset: 0.02 eV per formula unit
* ΔE_f: -0.43 eV/atom
* DFT total energy: -0.1755 Ha/atom
* volume: 85 Å³/cell

Record 17
## ScCdIn2 (PBEsol)

Data for an optimized crystal structure of ScCdIn2.

a = 10.010 Å, b = 10.010 Å, c = 10.010 Å
α = 18.81°, β = 18.81°, γ = 18.81°
Atoms (fractional coordinates):
Sc 0.000 0.000 0.000
Cd 0.500 0.500 0.500
In 0.250 0.250 0.250
In 0.750 0.750 0.750

Values from the calculation:
* spin magnetization: 0.01 μB/f.u.
* ΔE_f: -0.12 eV/atom
* DFT total energy: -0.1308 Ha/atom
* volume: 91 Å³/cell

Record 18
## Sc2Cd2In (PBEsol)

Data for an optimized crystal structure of Sc2Cd2In.

a = 7.064 Å, b = 7.064 Å, c = 7.064 Å
α = 144.01°, β = 144.01°, γ = 51.81°
Atoms (fractional coordinates):
Sc 0.250 0.750 0.500
Sc 0.750 0.250 0.500
Cd 0.102 0.102 0.000
Cd 0.898 0.898 0.000
In 0.500 0.500 0.000

Values from the calculation:
* spin magnetization: 0.81 μB/f.u.
* ΔE_f: 0.10 eV/atom
* DFT total energy: -0.1328 Ha/atom
* volume: 121 Å³/cell

Record 19
## Cd3In2Se6 (PBEsol)

Data for an optimized crystal structure of Cd3In2Se6.

a = 8.001 Å, b = 8.001 Å, c = 8.001 Å
α = 54.10°, β = 54.10°, γ = 54.10°
Atoms (fractional coordinates):
Cd 0.029 0.331 0.639
Cd 0.331 0.639 0.029
Cd 0.639 0.029 0.331
In 0.168 0.168 0.168
In 0.835 0.835 0.835
Se 0.040 0.040 0.040
Se 0.226 0.537 0.851
Se 0.396 0.396 0.396
Se 0.537 0.851 0.226
Se 0.707 0.707 0.707
Se 0.851 0.226 0.537

Values from the calculation:
* spin magnetization: 0.00 μB/f.u.
* DFT total energy: -0.1285 Ha/atom
* volume: 312 Å³/cell

Record 20
## CdInSe2 (PBEsol)

Data for an optimized crystal structure of CdInSe2.

a = 4.034 Å, b = 4.034 Å, c = 5.694 Å
α = 90.00°, β = 90.00°, γ = 90.00°
Atoms (fractional coordinates):
Cd 0.000 0.000 0.000
In 0.500 0.500 0.500
Se 0.000 0.000 0.500
Se 0.500 0.500 0.000

Values from the calculation:
* spin magnetization: 0.00 μB/f.u.
* DFT total energy: -0.1268 Ha/atom
* volume: 93 Å³/cell

Record 21
## CdInSe2 (PBEsol)

Data for an optimized crystal structure of CdInSe2.

a = 3.861 Å, b = 3.750 Å, c = 6.952 Å
α = 90.00°, β = 90.20°, γ = 90.00°
Atoms (fractional coordinates):
Cd 0.000 0.000 0.000
In 0.500 0.000 0.500
Se 0.177 0.500 0.740
Se 0.823 0.500 0.260

Values from the calculation:
* spin magnetization: 0.00 μB/f.u.
* DFT total energy: -0.1171 Ha/atom
* volume: 101 Å³/cell

Record 22
## CdInSe2 (PBEsol)

Data for an optimized crystal structure of CdInSe2.

a = 4.027 Å, b = 4.027 Å, c = 6.993 Å
α = 106.62°, β = 106.62°, γ = 60.00°
Atoms (fractional coordinates):
Cd 0.000 0.000 0.000
In 0.500 0.500 0.500
Se 0.252 0.252 0.757
Se 0.748 0.748 0.243

Values from the calculation:
* spin magnetization: 0.00 μB/f.u.
* DFT total energy: -0.1270 Ha/atom
* volume: 93 Å³/cell

Record 23
## CdIn2Si (PBEsol)

Data for an optimized crystal structure of CdIn2Si.

a = 5.312 Å, b = 5.312 Å, c = 5.312 Å
α = 132.86°, β = 125.55°, γ = 74.84°
Atoms (fractional coordinates):
Cd 0.000 0.000 0.000
In 0.259 0.759 0.500
In 0.741 0.241 0.500
Si 0.500 0.500 0.000

Values from the calculation:
* spin magnetization: 0.00 μB/f.u.
* DFT total energy: -0.1096 Ha/atom
* volume: 87 Å³/cell

Record 24
## Sm2CdIn (PBEsol)

Data for an optimized crystal structure of Sm2CdIn.

a = 5.313 Å, b = 5.313 Å, c = 5.313 Å
α = 60.00°, β = 60.00°, γ = 60.00°
Atoms (fractional coordinates):
Sm 0.250 0.250 0.250
Sm 0.750 0.750 0.750
Cd 0.000 0.000 0.000
In 0.500 0.500 0.500

Values from the calculation:
* spin magnetization: 0.00 μB/f.u.
* ΔE_f: -0.45 eV/atom
* DFT total energy: -0.1484 Ha/atom
* volume: 106 Å³/cell

Record 25
## SmCdIn (PBEsol)

Data for an optimized crystal structure of SmCdIn.

a = 4.816 Å, b = 4.816 Å, c = 7.475 Å
α = 90.00°, β = 90.00°, γ = 120.00°
Atoms (fractional coordinates):
Sm 0.000 0.000 0.238
Sm 0.000 0.000 0.762
Cd 0.333 0.667 0.974
Cd 0.667 0.333 0.026
In 0.333 0.667 0.552
In 0.667 0.333 0.448

Values from the calculation:
* spin magnetization: 0.00 μB/f.u.
* ΔE_f: -0.47 eV/atom
* DFT total energy: -0.1309 Ha/atom
* volume: 150 Å³/cell

Record 26
## SrCdIn3 (PBEsol)

Data for an optimized crystal structure of SrCdIn3.

a = 6.089 Å, b = 6.089 Å, c = 6.089 Å
α = 90.00°, β = 90.00°, γ = 90.00°
Atoms (fractional coordinates):
Sr 0.000 0.000 0.000
Cd 0.500 0.500 0.500
In 0.000 0.000 0.500
In 0.000 0.500 0.000
In 0.500 0.000 0.000

Values from the calculation:
* spin magnetization: 0.00 μB/f.u.
* ΔE_f: 0.86 eV/atom
* DFT total energy: -0.0564 Ha/atom
* volume: 226 Å³/cell

Record 27
## Sr3CdIn (PBEsol)

Data for an optimized crystal structure of Sr3CdIn.

a = 6.280 Å, b = 6.280 Å, c = 6.280 Å
α = 90.00°, β = 90.00°, γ = 90.00°
Atoms (fractional coordinates):
Sr 0.000 0.000 0.500
Sr 0.000 0.500 0.000
Sr 0.500 0.000 0.000
Cd 0.500 0.500 0.500
In 0.000 0.000 0.000

Values from the calculation:
* spin magnetization: 0.01 μB/f.u.
* ΔE_f: 0.10 eV/atom
* DFT total energy: -0.0677 Ha/atom
* volume: 248 Å³/cell

Record 28
## SrCdIn2 (PBEsol)

Data for an optimized crystal structure of SrCdIn2.

a = 5.294 Å, b = 5.294 Å, c = 5.294 Å
α = 60.00°, β = 60.00°, γ = 60.00°
Atoms (fractional coordinates):
Sr 0.000 0.000 0.000
Cd 0.250 0.250 0.250
In 0.500 0.500 0.500
In 0.750 0.750 0.750

Values from the calculation:
* spin magnetization: 0.00 μB/f.u.
* ΔE_f: -0.28 eV/atom
* DFT total energy: -0.0929 Ha/atom
* volume: 105 Å³/cell

Record 29
## Sr2CdIn (PBEsol)

Data for an optimized crystal structure of Sr2CdIn.

a = 3.900 Å, b = 5.675 Å, c = 5.705 Å
α = 90.00°, β = 90.00°, γ = 90.00°
Atoms (fractional coordinates):
Sr 0.000 0.000 0.000
Sr 0.000 0.500 0.477
Cd 0.500 0.500 0.965
In 0.500 0.000 0.509

Values from the calculation:
* spin magnetization: 0.00 μB/f.u.
* energy above the most stable polymorph in this dataset: 0.00 eV per formula unit
* ΔE_f: -0.40 eV/atom
* DFT total energy: -0.0869 Ha/atom
* volume: 126 Å³/cell

Record 30
## SrCdIn2 (PBEsol)

Data for an optimized crystal structure of SrCdIn2.

a = 3.746 Å, b = 3.746 Å, c = 7.631 Å
α = 90.00°, β = 90.00°, γ = 90.00°
Atoms (fractional coordinates):
Sr 0.000 0.000 0.000
Cd 0.000 0.000 0.500
In 0.500 0.500 0.294
In 0.500 0.500 0.706

Values from the calculation:
* spin magnetization: 0.00 μB/f.u.
* ΔE_f: -0.26 eV/atom
* DFT total energy: -0.0922 Ha/atom
* volume: 107 Å³/cell